Arrangement P

Material: DyTePO
Method: DFT, PBE
State: optimized geometry

Cell lengths 5.585, 5.585, 5.151 Å; angles 90.00, 90.00, 90.00 degrees
Space group P4/nmm (No. 129, origin choice 2)
One atom of each set of equivalent atoms:
Dy 0.250 0.750 0.000
Te 0.250 0.250 0.498
P 0.250 0.250 0.996
O 0.250 0.750 0.500

Arrangement Q

Material: DyTePO
Method: DFT, PBE
State: optimized geometry

Cell lengths 4.036, 4.036, 10.161 Å; angles 90.00, 90.00, 90.00 degrees
Space group P4/nmm (No. 129, origin choice 2)
One atom of each set of equivalent atoms:
Dy 0.250 0.250 0.103
Te 0.250 0.750 0.500
P 0.250 0.250 0.731
O 0.250 0.750 0.000

Energy above the most stable structure, in meV per atom: arrangement P 374; arrangement Q 0

Arrangement P

Material: DyZrPO
Method: DFT, PBE
State: optimized geometry

Cell lengths 4.142, 4.142, 8.521 Å; angles 90.00, 90.00, 90.00 degrees
Space group P4/nmm (No. 129, origin choice 2)
One atom of each set of equivalent atoms:
Dy 0.250 0.250 0.115
Zr 0.250 0.750 0.500
P 0.250 0.250 0.688
O 0.250 0.750 0.000

Arrangement Q

Material: DyZrPO
Method: DFT, PBE
State: optimized geometry

Cell lengths 3.929, 7.372, 5.644 Å; angles 90.00, 90.00, 90.00 degrees
Space group Pmc2_1 (No. 26)
One atom of each set of equivalent atoms:
Dy 0.000 0.210 0.000
Zr 0.500 0.387 0.539
P 0.000 0.163 0.498
O 0.500 0.337 0.921

Arrangement R

Material: DyZrPO
Method: DFT, PBE
State: optimized geometry

Cell lengths 3.999, 3.999, 8.435 Å; angles 90.00, 90.00, 90.00 degrees
Space group P4/nmm (No. 129, origin choice 2)
One atom of each set of equivalent atoms:
Dy 0.250 0.750 0.000
Zr 0.250 0.250 0.375
P 0.250 0.250 0.770
O 0.250 0.750 0.500

Arrangement S

Material: DyZrPO
Method: DFT, PBE
State: optimized geometry

Cell lengths 5.028, 4.144, 7.341 Å; angles 90.00, 90.00, 90.00 degrees
Space group Pmma (No. 51)
One atom of each set of equivalent atoms:
Dy 0.250 0.000 0.148
Zr 0.250 0.500 0.742
P 0.250 0.500 0.382
O 0.250 0.000 0.832

Energy above the most stable structure, in meV per atom: arrangement P 0; arrangement Q 209; arrangement R 541; arrangement S 194

Arrangement P

Material: Dy2Pd2O5
Method: DFT, PBE
State: optimized geometry

Cell lengths 3.789, 3.789, 8.969 Å; angles 90.00, 90.00, 90.00 degrees
Space group P4/mmm (No. 123)
One atom of each set of equivalent atoms:
Dy 0.000 0.000 0.244
Pd 0.500 0.500 0.000
Pd 0.500 0.500 0.500
O 0.000 0.000 0.000
O 0.000 0.500 0.363

Arrangement Q

Material: Dy2Pd2O5
Method: DFT, PBE
State: optimized geometry

Cell lengths 4.000, 4.000, 6.889 Å; angles 90.00, 90.00, 90.00 degrees
Space group P4/mmm (No. 123)
One atom of each set of equivalent atoms:
Dy 0.000 0.000 0.000
Dy 0.000 0.000 0.500
Pd 0.500 0.500 0.190
O 0.000 0.500 0.226
O 0.500 0.500 0.500

Energy above the most stable structure, in meV per atom: arrangement P 117; arrangement Q 0

Arrangement P

Material: Pm2Dy2O5
Method: DFT, PBE
State: optimized geometry

Cell lengths 3.882, 3.882, 10.095 Å; angles 90.00, 90.00, 90.00 degrees
Space group P4/mmm (No. 123)
One atom of each set of equivalent atoms:
Pm 0.000 0.000 0.240
Dy 0.500 0.500 0.000
Dy 0.500 0.500 0.500
O 0.000 0.000 0.500
O 0.000 0.500 0.136

Arrangement Q

Material: Pm2Dy2O5
Method: DFT, PBE
State: optimized geometry

Cell lengths 3.943, 3.943, 9.506 Å; angles 90.00, 90.00, 90.00 degrees
Space group P4/mmm (No. 123)
One atom of each set of equivalent atoms:
Pm 0.000 0.000 0.000
Pm 0.000 0.000 0.500
Dy 0.500 0.500 0.246
O 0.000 0.500 0.151
O 0.500 0.500 0.500

Energy above the most stable structure, in meV per atom: arrangement P 109; arrangement Q 0

Arrangement P

Material: Pr2Dy2O5
Method: DFT, PBE
State: optimized geometry

Cell lengths 4.343, 4.343, 7.692 Å; angles 90.00, 90.00, 90.00 degrees
Space group P4/mmm (No. 123)
One atom of each set of equivalent atoms:
Pr 0.000 0.000 0.000
Pr 0.000 0.000 0.500
Dy 0.500 0.500 0.228
O 0.000 0.500 0.242
O 0.500 0.500 0.500

Arrangement Q

Material: Pr2Dy2O5
Method: DFT, PBE
State: optimized geometry

Cell lengths 3.888, 3.888, 10.388 Å; angles 90.00, 90.00, 90.00 degrees
Space group P4/mmm (No. 123)
One atom of each set of equivalent atoms:
Pr 0.000 0.000 0.239
Dy 0.500 0.500 0.000
Dy 0.500 0.500 0.500
O 0.000 0.000 0.500
O 0.000 0.500 0.132

Energy above the most stable structure, in meV per atom: arrangement P 0; arrangement Q 11

Arrangement P

Material: Dy2Pt2O5
Method: DFT, PBE
State: optimized geometry

Cell lengths 4.039, 4.039, 6.933 Å; angles 90.00, 90.00, 90.00 degrees
Space group P4/mmm (No. 123)
One atom of each set of equivalent atoms:
Dy 0.000 0.000 0.000
Dy 0.000 0.000 0.500
Pt 0.500 0.500 0.191
O 0.000 0.500 0.237
O 0.500 0.500 0.500

Arrangement Q

Material: Dy2Pt2O5
Method: DFT, PBE
State: optimized geometry

Cell lengths 3.737, 3.737, 9.071 Å; angles 90.00, 90.00, 90.00 degrees
Space group P4/mmm (No. 123)
One atom of each set of equivalent atoms:
Dy 0.000 0.000 0.239
Pt 0.500 0.500 0.000
Pt 0.500 0.500 0.500
O 0.000 0.000 0.000
O 0.000 0.500 0.367

Energy above the most stable structure, in meV per atom: arrangement P 0; arrangement Q 83

Arrangement P

Material: Dy2Sc2O5
Method: DFT, PBE
State: optimized geometry

Cell lengths 4.024, 4.024, 7.278 Å; angles 90.00, 90.00, 90.00 degrees
Space group P4/mmm (No. 123)
One atom of each set of equivalent atoms:
Dy 0.000 0.000 0.000
Dy 0.000 0.000 0.500
Sc 0.500 0.500 0.227
O 0.000 0.500 0.232
O 0.500 0.500 0.500

Arrangement Q

Material: Dy2Sc2O5
Method: DFT, PBE
State: optimized geometry

Cell lengths 3.762, 3.762, 9.388 Å; angles 90.00, 90.00, 90.00 degrees
Space group P4/mmm (No. 123)
One atom of each set of equivalent atoms:
Dy 0.000 0.000 0.241
Sc 0.500 0.500 0.000
Sc 0.500 0.500 0.500
O 0.000 0.000 0.500
O 0.000 0.500 0.135

Energy above the most stable structure, in meV per atom: arrangement P 0; arrangement Q 152

Arrangement P

Material: DyTlSeO
Method: DFT, PBE
State: optimized geometry

Cell lengths 4.596, 8.004, 6.609 Å; angles 90.00, 90.00, 90.00 degrees
Space group Pmc2_1 (No. 26)
One atom of each set of equivalent atoms:
Dy 0.000 0.137 0.000
Tl 0.500 0.276 0.564
Se 0.500 0.328 0.045
O 0.000 0.069 0.695

Arrangement Q

Material: DyTlSeO
Method: DFT, PBE
State: optimized geometry

Cell lengths 5.600, 5.558, 12.131 Å; angles 90.00, 101.06, 90.00 degrees
Space group P2_1 (No. 4)
One atom of each set of equivalent atoms:
Dy 0.041 0.000 0.090
Dy 0.459 0.000 0.909
Tl 0.016 0.618 0.607
Tl 0.487 0.623 0.393
Se 0.033 0.128 0.737
Se 0.465 0.131 0.263
O 0.250 0.257 0.000
O 0.250 0.754 0.000

Energy above the most stable structure, in meV per atom: arrangement P 238; arrangement Q 0

Arrangement P

Material: Dy2SiO5
Method: DFT, PBE
State: optimized geometry

Cell lengths 9.019, 6.833, 6.666 Å; angles 90.00, 105.84, 90.00 degrees
Space group P2_1/c (No. 14)
One atom of each set of equivalent atoms:
Dy 0.028 0.125 0.233
Dy 0.375 0.139 0.059
Si 0.299 0.591 0.027
O 0.113 0.636 0.993
O 0.115 0.118 0.940
O 0.291 0.070 0.338
O 0.376 0.050 0.726
O 0.394 0.714 0.519

Arrangement Q

Material: Dy2SiO5
Method: DFT, PBE
State: optimized geometry

Cell lengths 14.399, 6.676, 10.312 Å; angles 90.00, 122.12, 90.00 degrees
Space group C2/c (No. 15)
One atom of each set of equivalent atoms:
Dy 0.036 0.246 0.462
Dy 0.141 0.131 0.833
Si 0.181 0.409 0.310
O 0.019 0.097 0.900
O 0.089 0.493 0.646
O 0.117 0.208 0.316
O 0.199 0.437 0.946
O 0.203 0.144 0.672

Energy above the most stable structure, in meV per atom: arrangement P 20; arrangement Q 0